BaDyMgAs2, optimized geometry, DFT PBE-GGA; crystal system = orthorhombic; DFT total energy = -45.0 eV for the cell shown
1.0
2.204 -9.036 0.000
2.204 9.036 0.000
0.000 0.000 6.955
Ba Dy Mg As
2 2 2 4
Direct
0.197 0.803 0.500
0.803 0.197 0.000
0.027 0.973 0.795
0.973 0.027 0.295
0.401 0.599 0.626
0.599 0.401 0.126
0.163 0.837 0.004
0.450 0.550 0.002
0.550 0.450 0.502
0.837 0.163 0.504

BaDyAsO, optimized geometry, DFT PBE-GGA; crystal system = orthorhombic; DFT total energy = -47.3 eV for the cell shown; relative energy among the computed polymorphs = 178.5 meV/atom
1.0
4.068 0.000 0.000
0.000 7.101 0.000
0.000 0.000 7.501
Ba Dy As O
2 2 2 2
Direct
0.000 0.057 0.000
0.000 0.943 0.500
0.500 0.381 0.351
0.500 0.619 0.851
0.500 0.252 0.713
0.500 0.748 0.213
0.000 0.270 0.287
0.000 0.730 0.787

BaDyAsO, optimized geometry, DFT PBE-GGA; crystal system = tetragonal; DFT total energy = -44.4 eV for the cell shown; relative energy among the computed polymorphs = 539.7 meV/atom
1.0
4.932 0.000 0.000
0.000 4.932 0.000
0.000 0.000 9.934
Ba Dy As O
2 2 2 2
Direct
0.250 0.250 0.092
0.750 0.750 0.908
0.250 0.750 0.500
0.750 0.250 0.500
0.250 0.250 0.635
0.750 0.750 0.365
0.250 0.750 0.000
0.750 0.250 0.000

BaDyAsO, optimized geometry, DFT PBE-GGA; crystal system = orthorhombic; DFT total energy = -48.7 eV for the cell shown; relative energy among the computed polymorphs = 0.0 meV/atom
1.0
4.739 0.000 0.000
0.000 7.606 0.000
0.000 0.000 6.696
Ba Dy As O
2 2 2 2
Direct
0.000 0.201 0.000
0.000 0.799 0.500
0.500 0.393 0.598
0.500 0.607 0.098
0.000 0.230 0.485
0.000 0.770 0.985
0.500 0.368 0.924
0.500 0.632 0.424

BaDyAsO, optimized geometry, DFT PBE-GGA; crystal system = tetragonal; DFT total energy = -44.7 eV for the cell shown; relative energy among the computed polymorphs = 499.9 meV/atom
1.0
4.472 0.000 0.000
0.000 4.472 0.000
0.000 0.000 9.547
Ba Dy As O
2 2 2 2
Direct
0.250 0.750 0.000
0.750 0.250 0.000
0.250 0.250 0.423
0.750 0.750 0.577
0.250 0.250 0.765
0.750 0.750 0.235
0.250 0.750 0.500
0.750 0.250 0.500

Ba2ErAs2, optimized geometry, DFT PBE-GGA; crystal system = orthorhombic; DFT total energy = -45.9 eV for the cell shown
1.0
2.347 -8.790 0.000
2.347 8.790 0.000
0.000 0.000 8.600
Ba Er As
4 2 4
Direct
0.054 0.946 0.500
0.206 0.794 0.173
0.794 0.206 0.673
0.946 0.054 0.000
0.411 0.589 0.366
0.589 0.411 0.866
0.169 0.831 0.802
0.448 0.552 0.692
0.552 0.448 0.192
0.831 0.169 0.302